#A
VASP calculation (GGA+U) on an optimized crystal structure of ScMnO2.

Cell: 3.888 3.888 3.888 Å, 60.00 60.00 60.00°
Element x y z (fractional)
Sc (0.000, 0.000, 0.000)
Mn (0.500, 0.500, 0.500)
O (0.250, 0.250, 0.250)
O (0.750, 0.750, 0.750)

Results
magnetic moment: 4.0 μB/f.u.
ρ: 5.271 g/cm3
V: 42 Å³ per cell

=====

#B
VASP calculation (GGA+U) on an optimized crystal structure of ScMnO2.

Cell: 6.187 6.187 6.187 Å, 30.22 30.22 30.22°
Element x y z (fractional)
Sc (0.500, 0.500, 0.500)
Mn (0.000, 0.000, 0.000)
O (0.891, 0.891, 0.891)
O (0.109, 0.109, 0.109)

Results
magnetic moment: 4.0 μB/f.u.
ρ: 4.121 g/cm3
V: 53 Å³ per cell

=====

Verdict on stability: #A comes out at the bottom.

=====

#A
VASP calculation (GGA+U) on an optimized crystal structure of Sc3MnO.

Cell: 4.878 4.878 4.878 Å, 90.00 90.00 90.00°
Element x y z (fractional)
Sc (0.000, 0.500, 0.000)
Sc (0.000, 0.000, 0.500)
Sc (0.500, 0.000, 0.000)
Mn (0.000, 0.000, 0.000)
O (0.500, 0.500, 0.500)

Results
magnetic moment: 1.5 μB/f.u.
ρ: 2.944 g/cm3
V: 116 Å³ per cell

=====

#B
VASP calculation (GGA+U) on an optimized crystal structure of Sc3MnO.

Cell: 4.466 4.466 4.466 Å, 90.00 90.00 90.00°
Element x y z (fractional)
Sc (0.000, 0.500, 0.000)
Sc (0.000, 0.000, 0.500)
Sc (0.500, 0.000, 0.000)
Mn (0.500, 0.500, 0.500)
O (0.000, 0.000, 0.000)

Results
magnetic moment: 4.0 μB/f.u.
ρ: 3.837 g/cm3
V: 89 Å³ per cell

=====

Verdict on stability: #A comes out at the bottom.

=====

#A
VASP calculation (GGA+U) on an optimized crystal structure of ScMn2O4.

Cell: 3.029 4.977 5.804 Å, 115.75 105.12 90.00°
Element x y z (fractional)
Sc (0.000, 0.000, 0.000)
Mn (0.734, 0.739, 0.468)
Mn (0.266, 0.261, 0.532)
O (0.861, 0.182, 0.722)
O (0.139, 0.818, 0.278)
O (0.637, 0.285, 0.273)
O (0.363, 0.715, 0.727)

Results
magnetic moment: 3.0 μB/f.u.
ρ: 4.818 g/cm3
V: 75 Å³ per cell

=====

#B
VASP calculation (GGA+U) on an optimized crystal structure of ScMn2O4.

Cell: 6.038 6.300 6.235 Å, 60.34 90.00 61.37°
Element x y z (fractional)
Sc (0.375, 0.250, 0.625)
Sc (0.375, 0.250, 0.125)
Mn (0.745, 0.509, 0.245)
Mn (0.005, 0.991, 0.005)
Mn (0.375, 0.750, 0.625)
Mn (0.875, 0.750, 0.625)
O (0.136, 0.728, 0.421)
O (0.136, 0.728, 0.851)
O (0.614, 0.772, 0.399)
O (0.614, 0.772, 0.829)
O (0.141, 0.257, 0.871)
O (0.601, 0.257, 0.871)
O (0.149, 0.243, 0.379)
O (0.609, 0.243, 0.379)

Results
magnetic moment: 9.0 μB/f.u.
ρ: 4.227 g/cm3
V: 172 Å³ per cell

=====

Verdict on stability: #A comes out at the bottom.

=====

#A
VASP calculation (GGA+U) on an optimized crystal structure of MnSeO5.

Cell: 7.211 6.002 9.519 Å, 73.65 90.00 90.00°
Element x y z (fractional)
Mn (0.546, 0.800, 0.650)
Mn (0.046, 0.200, 0.850)
Mn (0.454, 0.200, 0.350)
Mn (0.954, 0.800, 0.150)
Se (0.701, 0.354, 0.612)
Se (0.201, 0.646, 0.888)
Se (0.299, 0.646, 0.388)
Se (0.799, 0.354, 0.112)
O (0.058, 0.867, 0.935)
O (0.558, 0.133, 0.565)
O (0.942, 0.133, 0.065)
O (0.442, 0.867, 0.435)
O (0.501, 0.484, 0.661)
O (0.001, 0.516, 0.839)
O (0.499, 0.516, 0.339)
O (0.999, 0.484, 0.161)
O (0.279, 0.806, 0.721)
O (0.779, 0.194, 0.779)
O (0.721, 0.194, 0.279)
O (0.221, 0.806, 0.221)
O (0.144, 0.221, 0.684)
O (0.644, 0.779, 0.816)
O (0.856, 0.779, 0.316)
O (0.356, 0.221, 0.184)
O (0.284, 0.250, 0.896)
O (0.784, 0.750, 0.604)
O (0.716, 0.750, 0.104)
O (0.216, 0.250, 0.396)

Results
magnetic moment: 3.0 μB/f.u.
ρ: 3.594 g/cm3
V: 395 Å³ per cell

=====

#B
VASP calculation (GGA+U) on an optimized crystal structure of MnSeO5.

Cell: 5.487 5.487 7.013 Å, 75.01 75.01 102.64°
Element x y z (fractional)
Mn (0.500, 0.500, 0.500)
Mn (0.500, 0.500, 0.000)
Se (0.176, 0.824, 0.750)
Se (0.824, 0.176, 0.250)
O (0.393, 0.823, 0.881)
O (0.177, 0.607, 0.619)
O (0.607, 0.177, 0.119)
O (0.823, 0.393, 0.381)
O (0.250, 0.126, 0.575)
O (0.874, 0.750, 0.925)
O (0.750, 0.874, 0.425)
O (0.126, 0.250, 0.075)
O (0.570, 0.430, 0.750)
O (0.430, 0.570, 0.250)

Results
magnetic moment: 3.0 μB/f.u.
ρ: 3.788 g/cm3
V: 188 Å³ per cell

=====

Verdict on stability: #A comes out at the bottom.